The following is a DFT calculation (PBE) of a relaxed structure of K2HgSe.

Properties
For the energy relative to the elements, uncorrected, the calculation gives -0.75 eV per atom. The calculation puts the energy above the most stable polymorph in this dataset at 0.038 eV per atom. The calculation puts the density at 4.22 g cm⁻³.

abc: 4.7844 4.7972 6.5865
angles: 68.76 90.00 90.00
Fractional coordinates of all 4 atoms:
K1 0.0000 0.9837 0.9070
K2 0.5000 0.2620 0.3512
Hg1 0.5000 0.5467 0.7800
Se1 0.0000 0.7076 0.4618

The following is a DFT calculation (PBE) of a relaxed structure of KHg2Se.

Properties
For the energy relative to the elements, uncorrected, the calculation gives -0.38 eV per atom. The calculation puts the energy above the most stable polymorph in this dataset at 0.019 eV per atom. The calculation puts the density at 6.55 g cm⁻³.

abc: 5.1590 5.1590 7.2522
angles: 65.72 65.72 49.90
Fractional coordinates of all 4 atoms:
Hg1 0.9571 0.9571 0.9846
Hg2 0.7098 0.7098 0.8144
K1 0.5239 0.5239 0.4740
Se1 0.3093 0.3093 0.2269

The following is a DFT calculation (PBE) of a relaxed structure of K2HgSe.

Properties
For the energy relative to the elements, uncorrected, the calculation gives -0.70 eV per atom. The calculation puts the energy above the most stable polymorph in this dataset at 0.086 eV per atom. The calculation puts the density at 4.45 g cm⁻³.

abc: 6.5391 6.5391 5.3306
angles: 71.54 71.54 38.43
Fractional coordinates of all 4 atoms:
Hg1 0.2052 0.2052 0.2713
K1 0.9860 0.9860 0.0247
K2 0.7892 0.7892 0.6903
Se1 0.5196 0.5196 0.5137

The following is a DFT calculation (PBE) of a relaxed structure of KHgSe2.

Properties
For the energy relative to the elements, uncorrected, the calculation gives -0.18 eV per atom. The calculation puts the energy above the most stable polymorph in this dataset at 0.267 eV per atom. The calculation puts the density at 6.29 g cm⁻³.

abc: 6.1680 6.1680 6.1680
angles: 137.72 137.72 61.33
Fractional coordinates of all 4 atoms:
Hg1 0.2500 0.7500 0.5000
K1 0.7500 0.2500 0.5000
Se1 0.0000 0.0000 0.0000
Se2 0.5000 0.5000 0.0000

The following is a DFT calculation (PBE) of a relaxed structure of K3HgSe.

Properties
For the energy relative to the elements, uncorrected, the calculation gives -0.61 eV per atom. The calculation puts the energy above the most stable polymorph in this dataset at 0.000 eV per atom. The calculation puts the density at 2.62 g cm⁻³.

abc: 6.3115 6.3115 6.3115
angles: 90.00 90.00 90.00
Fractional coordinates of all 5 atoms:
K1 0.0000 0.5000 0.0000
K2 0.0000 0.0000 0.5000
K3 0.5000 0.0000 0.0000
Hg1 0.5000 0.5000 0.5000
Se1 0.0000 0.0000 0.0000

The following is a DFT calculation (PBE) of a relaxed structure of KHg3Se3.

Properties
For the energy relative to the elements, uncorrected, the calculation gives -0.35 eV per atom. The calculation puts the energy above the most stable polymorph in this dataset at 0.007 eV per atom. The calculation puts the density at 6.36 g cm⁻³.

abc: 8.1215 8.1215 9.2904
angles: 64.08 64.08 60.00
Fractional coordinates of all 14 atoms:
K1 0.3335 0.3335 0.9995
K2 0.6665 0.6665 0.0005
Hg1 0.4223 0.7933 0.6657
Hg2 0.7933 0.1187 0.6657
Hg3 0.1187 0.4223 0.6657
Hg4 0.8813 0.5777 0.3343
Hg5 0.2067 0.8813 0.3343
Hg6 0.5777 0.2067 0.3343
Se1 0.2493 0.5581 0.2801
Se2 0.9125 0.2493 0.2801
Se3 0.5581 0.9125 0.2801
Se4 0.4419 0.0875 0.7199
Se5 0.0875 0.7507 0.7199
Se6 0.7507 0.4419 0.7199

The following is a DFT calculation (PBE) of a relaxed structure of KHgSe2.

Properties
For the energy relative to the elements, uncorrected, the calculation gives -0.33 eV per atom. The calculation puts the energy above the most stable polymorph in this dataset at 0.112 eV per atom. The calculation puts the density at 6.15 g cm⁻³.

abc: 6.4699 6.4699 5.7635
angles: 90.07 90.07 26.41
Fractional coordinates of all 4 atoms:
Hg1 0.5187 0.5187 0.5982
K1 0.2542 0.2542 0.1335
Se1 0.9907 0.9907 0.1334
Se2 0.7364 0.7364 0.6349

The following is a DFT calculation (PBE) of a relaxed structure of K3Hg2Se4.

Properties
For the energy relative to the elements, uncorrected, the calculation gives -0.67 eV per atom. The calculation puts the energy above the most stable polymorph in this dataset at 0.020 eV per atom. The calculation puts the density at 4.98 g cm⁻³.

abc: 4.3035 7.5336 10.0955
angles: 116.30 90.00 106.60
Fractional coordinates of all 9 atoms:
K1 0.6143 0.2286 0.7062
K2 0.0000 0.0000 0.0000
K3 0.3857 0.7714 0.2938
Hg1 0.6712 0.3425 0.3207
Hg2 0.3288 0.6575 0.6793
Se1 0.7017 0.4033 0.0873
Se2 0.2983 0.5967 0.9127
Se3 0.8977 0.7954 0.5865
Se4 0.1023 0.2046 0.4135